VASP calculation (PBE) on an optimized crystal structure of Li2PPt.

Output
space group: P4/mmm
crystal system: tetragonal
energy of formation: -0.495 eV/atom
total magnetic moment: 0.00 μB/f.u.

Cell: 3.3132 3.3132 4.8701 Å, 90.00 90.00 90.00°
Fractional positions:
Li (0.0000, 0.0000, 0.0030)
Li (0.0000, 0.0000, 0.4970)
P (0.5000, 0.5000, 0.2500)
Pt (0.5000, 0.5000, 0.7500)